(1)
VASP calculation (PBE) on ZrFePb3 after structural relaxation.

Cell: 5.6514 5.6514 5.6514 Å, 90.00 90.00 90.00°
Last column: nearest neighbours and their distance in Å.
Space group Pm-3m (No. 221)
Symmetry-distinct sites (fractional):
Zr 0.0000 0.0000 0.0000 (multiplicity 1)  6 Pb 2.83
Fe 0.5000 0.5000 0.5000 (multiplicity 1)  12 Pb 4.00
Pb 0.0000 0.0000 0.5000 (multiplicity 3)  2 Zr 2.83

Calculated formation energy in eV per atom: 1.009
Offset from the most stable computed form in eV per atom: 0.294
ρ in g/cm³: 7.1

***

(2)
VASP calculation (PBE) on AcTmMgSc after structural relaxation.

Cell: 7.8740 7.8740 7.8740 Å, 90.00 90.00 90.00°
Last column: nearest neighbours and their distance in Å.
Space group F-43m (No. 216)
Symmetry-distinct sites (fractional):
Ac 0.0000 0.0000 0.0000 (multiplicity 4)  4 Mg 3.41, 4 Sc 3.41
Tm 0.0000 0.0000 0.5000 (multiplicity 4)  4 Sc 3.41, 4 Mg 3.41
Mg 0.2500 0.2500 0.7500 (multiplicity 4)  4 Tm 3.41, 4 Ac 3.41
Sc 0.2500 0.2500 0.2500 (multiplicity 4)  4 Ac 3.41, 4 Tm 3.41

Calculated formation energy in eV per atom: 0.070
ρ in g/cm³: 6.3

***

(3)
VASP calculation (PBE) on BeSbOs2 after structural relaxation.

Cell: 2.8630 2.8630 8.1586 Å, 90.00 90.00 90.00°
Last column: nearest neighbours and their distance in Å.
Space group P4mm (No. 99)
Symmetry-distinct sites (fractional):
Be 0.0000 0.0000 0.0000 (multiplicity 1)  4 Os 2.42
Sb 0.5000 0.5000 0.6444 (multiplicity 1)  4 Sb 2.86, 4 Os 3.02
Os 0.0000 0.0000 0.3699 (multiplicity 1)  8 Os 2.64-2.86
Os 0.5000 0.5000 0.1620 (multiplicity 1)  4 Be 2.42, 4 Os 2.64

Offset from the most stable computed form in eV per atom: 0.090
ρ in g/cm³: 12.7

***

(4)
VASP calculation (PBE) on Na3GePd3O8 after structural relaxation.

Cell: 11.9104 5.9722 6.3899 Å, 90.00 122.41 90.00°
Last column: nearest neighbours and their distance in Å.
Space group C2/m (No. 12)
Symmetry-distinct sites (fractional):
Na 0.0000 0.0000 0.0000 (multiplicity 2)  4 O 2.37
Na 0.2500 0.2500 0.5000 (multiplicity 4)  6 O 2.34-2.45
Ge 0.0000 0.0000 0.5000 (multiplicity 2)  6 O 1.91-2.02
Pd 0.0000 0.5000 0.5000 (multiplicity 2)  6 O 2.05-2.07
Pd 0.2500 0.2500 0.0000 (multiplicity 4)  4 O 2.04-2.06
O 0.0200 0.2335 0.3190 (multiplicity 8)  1 Ge 1.91, 1 Pd 2.05
O 0.1988 0.0000 0.7412 (multiplicity 4)  1 Ge 2.02, 2 Pd 2.06
O 0.2039 0.5000 0.7477 (multiplicity 4)  3 Pd 2.04-2.07

DFT total energy in eV/cell: -158.635
ρ in g/cm³: 5.1

***

(5)
VASP calculation (PBE) on ScAs after structural relaxation.

Cell: 4.0451 5.4824 3.6093 Å, 90.00 90.00 90.00°
Last column: nearest neighbours and their distance in Å.
Space group Cmmm (No. 65)
Symmetry-distinct sites (fractional):
Sc 0.0000 0.0000 0.0000 (multiplicity 2)  4 As 2.71
As 0.0000 0.5000 0.5000 (multiplicity 2)  4 Sc 2.71

Calculated formation energy in eV per atom: -1.014
ρ in g/cm³: 5.0

***

(6)
VASP calculation (PBE) on BaCa3Rh after structural relaxation.

Cell: 13.1907 8.5849 9.1211 Å, 90.00 133.72 90.00°
Last column: nearest neighbours and their distance in Å.
Space group C2 (No. 5)
Symmetry-distinct sites (fractional):
Ba 0.1985 0.0000 0.1963 (multiplicity 4)  1 Rh 2.94
Ca 0.0016 0.2610 0.3003 (multiplicity 4)  1 Rh 2.85
Ca 0.0016 0.6407 0.2014 (multiplicity 4)  2 Rh 2.80-3.05
Ca 0.1997 0.9052 0.7002 (multiplicity 4)  1 Rh 2.89
Rh 0.0000 0.3566 0.0000 (multiplicity 2)  6 Ca 2.85-3.05
Rh 0.0000 0.5738 0.5000 (multiplicity 2)  2 Ca 2.80, 2 Ba 2.94

Calculated formation energy in eV per atom: -0.214
Offset from the most stable computed form in eV per atom: 0.014
ρ in g/cm³: 3.2

***

(7)
VASP calculation (PBE) on ReAu2Br after structural relaxation.

Cell: 2.9547 4.8837 10.5901 Å, 90.00 90.00 90.00°
Last column: nearest neighbours and their distance in Å.
Space group Cmmm (No. 65)
Symmetry-distinct sites (fractional):
Re 0.0000 0.0000 0.0000 (multiplicity 2)  4 Au 2.79, 6 Re 2.85-2.95
Au 0.0000 0.5000 0.2230 (multiplicity 4)  2 Re 2.79, 6 Au 2.85-2.95
Br 0.0000 0.0000 0.5000 (multiplicity 2)  6 Br 2.85-2.95

Offset from the most stable computed form in eV per atom: 0.176
ρ in g/cm³: 14.3

***

(8)
VASP calculation (PBE) on BaCrNi after structural relaxation.

Cell: 3.9752 3.9765 10.9481 Å, 80.25 80.57 62.17°
Last column: nearest neighbours and their distance in Å.
Space group P-1 (No. 2)
Symmetry-distinct sites (fractional):
Ba 0.2492 0.2567 0.1989 (multiplicity 2)  3 Ni 3.09-3.10, 1 Cr 3.34
Cr 0.1565 0.1562 0.5096 (multiplicity 2)  3 Cr 2.18-2.40
Ni 0.4690 0.4658 0.6103 (multiplicity 2)  1 Ni 2.37, 4 Cr 2.55-2.64

Calculated formation energy in eV per atom: 0.328
Offset from the most stable computed form in eV per atom: 0.064
ρ in g/cm³: 5.5

***

(9)
VASP calculation (PBE) on KAl2Ni after structural relaxation.

Cell: 5.7244 10.4217 2.7326 Å, 90.00 106.60 90.00°
Last column: nearest neighbours and their distance in Å.
Space group C2/m (No. 12)
Symmetry-distinct sites (fractional):
K 0.0000 0.0000 0.0000 (multiplicity 2)  2 K 2.73, 2 Ni 2.86
Al 0.2500 0.2500 0.5000 (multiplicity 4)  4 Al 2.73-2.86
Ni 0.0000 0.5000 0.0000 (multiplicity 2)  2 Ni 2.73, 2 K 2.86

Calculated formation energy in eV per atom: 0.603
Offset from the most stable computed form in eV per atom: 0.727
ρ in g/cm³: 3.2

***

(10)
VASP calculation (PBE) on PS after structural relaxation.

Cell: 4.5287 4.5367 5.7433 Å, 84.72 69.64 70.41°
Last column: nearest neighbours and their distance in Å.
Space group P1 (No. 1)
Symmetry-distinct sites (fractional):
P 0.0000 0.0000 0.0000 (multiplicity 1)  2 S 2.14-2.15, 1 P 2.31
P 0.1581 0.2728 0.2306 (multiplicity 1)  2 S 2.14-2.15, 1 P 2.31
S 0.5727 0.3217 0.9247 (multiplicity 1)  2 P 2.14-2.15
S 0.8012 0.7366 0.3064 (multiplicity 1)  2 P 2.14-2.15

Offset from the most stable computed form in eV per atom: 0.098
ρ in g/cm³: 2.0

***

(11)
VASP calculation (PBE) on Nb3RhCl after structural relaxation.

Cell: 4.5100 4.5100 4.5100 Å, 90.00 90.00 90.00°
Last column: nearest neighbours and their distance in Å.
Space group Pm-3m (No. 221)
Symmetry-distinct sites (fractional):
Nb 0.0000 0.0000 0.5000 (multiplicity 3)  2 Cl 2.26
Rh 0.5000 0.5000 0.5000 (multiplicity 1)  12 Nb 3.19
Cl 0.0000 0.0000 0.0000 (multiplicity 1)  6 Nb 2.26

Offset from the most stable computed form in eV per atom: 0.000
ρ in g/cm³: 7.5

***

(12)
VASP calculation (PBE) on Ti3GaMo after structural relaxation.

Cell: 4.7285 4.7285 4.7285 Å, 90.00 90.00 90.00°
Last column: nearest neighbours and their distance in Å.
Space group Pm-3m (No. 221)
Symmetry-distinct sites (fractional):
Ti 0.0000 0.0000 0.5000 (multiplicity 3)  2 Mo 2.36
Ga 0.5000 0.5000 0.5000 (multiplicity 1)  12 Ti 3.34
Mo 0.0000 0.0000 0.0000 (multiplicity 1)  6 Ti 2.36

Calculated formation energy in eV per atom: 0.738
Offset from the most stable computed form in eV per atom: 1.013
ρ in g/cm³: 4.9